Here is a relaxed structure of Li2YP from Alexandria. Energies are from PBE.

a = 6.362 Å, b = 6.362 Å, c = 6.362 Å
α = 147.68°, β = 140.52°, γ = 51.91°
Sites, in units of the cell vectors:
Li 0.448 0.448 0.000
Y 0.750 0.250 0.500
P 0.250 0.750 0.500
Li 0.052 0.052 0.000

## Properties
Volume = 21.765 Å³ per atom
Final energy = -17.71 eV for the cell shown
SG = Immm (71)